[1]
The following is a PBE-GGA calculation of crystalline YTaW2 at its relaxed geometry, from the Alexandria database.

Values from the calculation:
DOS at the Fermi energy (states/eV per cell): 3.3
Symmetry: Pmmm
VASP energy (eV per atom): -10.4465
ΔE_f (eV per atom): 0.6093

a = 2.751 Å, b = 4.833 Å, c = 5.751 Å
α = 90.00°, β = 90.00°, γ = 90.00°
Fractional coordinates of all 4 atoms:
Ta: 0.500 0.500 0.750
W: 0.000 0.000 0.982
W: 0.000 0.000 0.518
Y: 0.500 0.500 0.250

---

[2]
The following is a PBE-GGA calculation of crystalline PmDyCl6 at its relaxed geometry, from the Alexandria database.

Values from the calculation:
DOS at the Fermi energy (states/eV per cell): 0.0
Symmetry: C2/m
VASP energy (eV per atom): -4.8044
ΔE_f (raw) (eV per atom): -2.25

a = 7.156 Å, b = 7.156 Å, c = 6.732 Å
α = 97.33°, β = 97.33°, γ = 123.85°
Fractional coordinates of all 8 atoms:
Pm: 0.000 0.000 0.000
Dy: 0.500 0.500 0.500
Cl: 0.601 0.884 0.744
Cl: 0.884 0.601 0.744
Cl: 0.116 0.399 0.256
Cl: 0.399 0.116 0.256
Cl: 0.252 0.252 0.745
Cl: 0.748 0.748 0.255

---

[3]
The following is a PBE-GGA calculation of crystalline RbTl2GeS4 at its relaxed geometry, from the Alexandria database.

Values from the calculation:
DOS at the Fermi energy (states/eV per cell): 6.0
Symmetry: C2/c
VASP energy (eV per atom): -3.6527
ΔE_f (raw) (eV per atom): -0.30

a = 8.316 Å, b = 8.316 Å, c = 8.052 Å
α = 119.01°, β = 119.01°, γ = 90.91°
Fractional coordinates of all 16 atoms:
Rb: 0.000 0.500 0.000
Rb: 0.000 0.500 0.500
Tl: 0.500 0.000 0.000
Tl: 0.500 0.000 0.500
Tl: 0.000 0.000 0.500
Tl: 0.500 0.500 0.000
Ge: 0.500 0.500 0.500
Ge: 0.000 0.000 0.000
S: 0.270 0.799 0.035
S: 0.701 0.230 0.465
S: 0.299 0.770 0.535
S: 0.730 0.201 0.965
S: 0.736 0.764 0.973
S: 0.736 0.764 0.527
S: 0.264 0.236 0.473
S: 0.264 0.236 0.027

---

[4]
The following is a PBE-GGA calculation of crystalline Al2RhAu at its relaxed geometry, from the Alexandria database.

Values from the calculation:
DOS at the Fermi energy (states/eV per cell): 1.3
Symmetry: P4/mmm
VASP energy (eV per atom): -5.1643
ΔE_f (eV per atom): -0.6358

a = 4.359 Å, b = 4.359 Å, c = 3.144 Å
α = 90.00°, β = 90.00°, γ = 90.00°
Fractional coordinates of all 4 atoms:
Rh: 0.500 0.500 0.000
Au: 0.000 0.000 0.000
Al: 0.000 0.500 0.500
Al: 0.500 0.000 0.500

---

[5]
The following is a PBE-GGA calculation of crystalline KOsS2O8 at its relaxed geometry, from the Alexandria database.

Values from the calculation:
DOS at the Fermi energy (states/eV per cell): 0.5
Symmetry: R-3
VASP energy (eV per atom): -6.2547
ΔE_f (raw) (eV per atom): -1.23

a = 4.833 Å, b = 4.833 Å, c = 8.748 Å
α = 73.96°, β = 73.96°, γ = 60.00°
Each line ends with the local moment (μB).
Fractional coordinates of all 12 atoms:
K: 0.500 0.500 0.500  0.00
Os: 0.000 0.000 0.000  0.79
S: 0.263 0.263 0.211  0.00
S: 0.737 0.737 0.789  0.00
O: 0.204 0.204 0.387  0.01
O: 0.587 0.264 0.151  0.02
O: 0.796 0.796 0.613  0.01
O: 0.998 0.587 0.151  0.02
O: 0.002 0.413 0.849  0.02
O: 0.264 0.998 0.151  0.02
O: 0.736 0.002 0.849  0.02
O: 0.413 0.736 0.849  0.02

---

[6]
The following is a PBE-GGA calculation of crystalline Sr2AlGa at its relaxed geometry, from the Alexandria database.

Values from the calculation:
DOS at the Fermi energy (states/eV per cell): 2.4
Symmetry: P4/mmm
VASP energy (eV per atom): -2.7525
ΔE_f (eV per atom): -0.2192

a = 3.978 Å, b = 5.514 Å, c = 5.514 Å
α = 90.00°, β = 90.00°, γ = 90.00°
Fractional coordinates of all 4 atoms:
Sr: 0.000 0.000 0.500
Sr: 0.000 0.500 0.000
Al: 0.500 0.500 0.500
Ga: 0.500 0.000 0.000

---

Q: What is the formula in the first record?
A: YTaW2